The following is a DFT calculation (PBE) of CdFe2Os after structural relaxation.

Geometry as POSCAR:
```
CdFe2Os
1.0
2.926 0.000 0.000
0.000 4.507 0.000
0.000 0.000 8.906
Cd Fe Os
2 4 2
Cartesian
0.000 0.000 0.000
1.463 2.254 0.000
0.000 0.000 4.607
0.000 2.254 6.519
1.463 0.000 6.519
1.463 2.254 4.607
0.000 2.254 2.539
1.463 0.000 2.539
```

Summary:
ΔH_f (0 K): 384 meV/atom